1:
This record from the Alexandria database describes an optimized crystal structure of RbMoAs2Br. The functional is PBE.

## Properties
The volume comes out at 195.2 Å³/cell. As for the space group: No. 123. Its density is 3.50 g/cm3.

Cell: 5.7565 5.7565 5.8894 Å, 90.00 90.00 90.00°
Closest atoms and distances in Å follow each position.
Atoms (fractional coordinates):
As  0.0000  0.5000  0.0000  2 Rb 2.88
As  0.5000  0.0000  0.0000  2 Rb 2.88
Mo  0.5000  0.5000  0.5000  4 Br 4.07, 8 As 4.12
Br  0.0000  0.0000  0.5000  2 Rb 2.94
Rb  0.0000  0.0000  0.0000  4 As 2.88, 2 Br 2.94

=====

2:
This record from the Alexandria database describes an optimized crystal structure of RbMoAs2Br. The functional is PBE.

## Properties
The volume comes out at 139.9 Å³/cell. As for the space group: No. 123. Its density is 4.88 g/cm3.

Cell: 4.8688 4.8688 5.9011 Å, 90.00 90.00 90.00°
Closest atoms and distances in Å follow each position.
Atoms (fractional coordinates):
As  0.0000  0.5000  0.0000  2 Mo 2.43
As  0.5000  0.0000  0.0000  2 Mo 2.43
Mo  0.0000  0.0000  0.0000  4 As 2.43
Br  0.0000  0.0000  0.5000  2 Mo 2.95
Rb  0.5000  0.5000  0.5000  4 Br 3.44, 8 As 3.83

=====

Energetically preferred structure: 2 | next structure: +194.5 kJ/mol of atoms

=====

1:
This record from the Alexandria database describes an optimized crystal structure of ReMoAs2Br. The functional is PBE.

## Properties
The volume comes out at 122.9 Å³/cell. As for the space group: No. 123. Its density is 6.92 g/cm3.

Cell: 4.7371 4.7371 5.4760 Å, 90.00 90.00 90.00°
Closest atoms and distances in Å follow each position.
Atoms (fractional coordinates):
Re  0.0000  0.0000  0.0000  4 As 2.37
Mo  0.5000  0.5000  0.5000  4 Br 3.35, 8 As 3.62
As  0.0000  0.5000  0.0000  2 Re 2.37
As  0.5000  0.0000  0.0000  2 Re 2.37
Br  0.0000  0.0000  0.5000  2 Re 2.74

=====

2:
This record from the Alexandria database describes an optimized crystal structure of ReMoAs2Br. The functional is PBE.

## Properties
The volume comes out at 123.2 Å³/cell. As for the space group: No. 123. Its density is 6.90 g/cm3.

Cell: 4.8721 4.8721 5.1915 Å, 90.00 90.00 90.00°
Closest atoms and distances in Å follow each position.
Atoms (fractional coordinates):
Re  0.5000  0.5000  0.5000  4 Br 3.45, 8 As 3.56
Mo  0.0000  0.0000  0.0000  4 As 2.44, 2 Br 2.60
As  0.0000  0.5000  0.0000  2 Mo 2.44
As  0.5000  0.0000  0.0000  2 Mo 2.44
Br  0.0000  0.0000  0.5000  2 Mo 2.60

=====

Energetically preferred structure: 1 | next structure: +23.7 kJ/mol of atoms

=====

1:
This record from the Alexandria database describes an optimized crystal structure of MoAs2SBr. The functional is PBE.

## Properties
The volume comes out at 118.0 Å³/cell. As for the space group: No. 123. Its density is 5.03 g/cm3.

Cell: 4.9383 4.9383 4.8381 Å, 90.00 90.00 90.00°
Closest atoms and distances in Å follow each position.
Atoms (fractional coordinates):
S  0.5000  0.5000  0.5000  8 As 3.46, 4 Br 3.49
Mo  0.0000  0.0000  0.0000  2 Br 2.42, 4 As 2.47
As  0.0000  0.5000  0.0000  2 Mo 2.47
As  0.5000  0.0000  0.0000  2 Mo 2.47
Br  0.0000  0.0000  0.5000  2 Mo 2.42

=====

2:
This record from the Alexandria database describes an optimized crystal structure of MoAs2SBr. The functional is PBE.

## Properties
The volume comes out at 115.1 Å³/cell. As for the space group: No. 123. Its density is 5.16 g/cm3.

Cell: 4.7908 4.7908 5.0157 Å, 90.00 90.00 90.00°
Closest atoms and distances in Å follow each position.
Atoms (fractional coordinates):
S  0.0000  0.0000  0.0000  4 As 2.40, 2 Br 2.51
Mo  0.5000  0.5000  0.5000  4 Br 3.39, 8 As 3.47
As  0.0000  0.5000  0.0000  2 S 2.40
As  0.5000  0.0000  0.0000  2 S 2.40
Br  0.0000  0.0000  0.5000  2 S 2.51

=====

Energetically preferred structure: 1 | next structure: +54.9 kJ/mol of atoms

=====

1:
This record from the Alexandria database describes an optimized crystal structure of ScMoAs2Br. The functional is PBE.

## Properties
The volume comes out at 123.1 Å³/cell. As for the space group: No. 123. Its density is 5.00 g/cm3.

Cell: 4.8310 4.8310 5.2748 Å, 90.00 90.00 90.00°
Closest atoms and distances in Å follow each position.
Atoms (fractional coordinates):
Sc  0.5000  0.5000  0.5000  4 Br 3.42, 8 As 3.58
Mo  0.0000  0.0000  0.0000  4 As 2.42, 2 Br 2.64
As  0.0000  0.5000  0.0000  2 Mo 2.42
As  0.5000  0.0000  0.0000  2 Mo 2.42
Br  0.0000  0.0000  0.5000  2 Mo 2.64

=====

2:
This record from the Alexandria database describes an optimized crystal structure of ScMoAs2Br. The functional is PBE.

## Properties
The volume comes out at 135.0 Å³/cell. As for the space group: No. 123. Its density is 4.56 g/cm3.

Cell: 5.1458 5.1458 5.0990 Å, 90.00 90.00 90.00°
Closest atoms and distances in Å follow each position.
Atoms (fractional coordinates):
Sc  0.0000  0.0000  0.0000  2 Br 2.55, 4 As 2.57
Mo  0.5000  0.5000  0.5000  8 As 3.62, 4 Br 3.64
As  0.0000  0.5000  0.0000  2 Sc 2.57
As  0.5000  0.0000  0.0000  2 Sc 2.57
Br  0.0000  0.0000  0.5000  2 Sc 2.55

=====

Energetically preferred structure: 1 | next structure: +33.1 kJ/mol of atoms

=====

1:
This record from the Alexandria database describes an optimized crystal structure of MoAs2SeBr. The functional is PBE.

## Properties
The volume comes out at 130.5 Å³/cell. As for the space group: No. 123. Its density is 5.15 g/cm3.

Cell: 5.0974 5.0974 5.0244 Å, 90.00 90.00 90.00°
Closest atoms and distances in Å follow each position.
Atoms (fractional coordinates):
As  0.0000  0.5000  0.0000  2 Se 2.55
As  0.5000  0.0000  0.0000  2 Se 2.55
Mo  0.5000  0.5000  0.5000  8 As 3.58, 4 Br 3.60
Se  0.0000  0.0000  0.0000  2 Br 2.51, 4 As 2.55
Br  0.0000  0.0000  0.5000  2 Se 2.51

=====

2:
This record from the Alexandria database describes an optimized crystal structure of MoAs2SeBr. The functional is PBE.

## Properties
The volume comes out at 119.6 Å³/cell. As for the space group: No. 123. Its density is 5.62 g/cm3.

Cell: 4.9681 4.9681 4.8471 Å, 90.00 90.00 90.00°
Closest atoms and distances in Å follow each position.
Atoms (fractional coordinates):
As  0.0000  0.5000  0.0000  2 Mo 2.48
As  0.5000  0.0000  0.0000  2 Mo 2.48
Mo  0.0000  0.0000  0.0000  2 Br 2.42, 4 As 2.48
Se  0.5000  0.5000  0.5000  8 As 3.47, 4 Br 3.51
Br  0.0000  0.0000  0.5000  2 Mo 2.42

=====

3:
This record from the Alexandria database describes an optimized crystal structure of MoAs2SeBr. The functional is PBE.

## Properties
The volume comes out at 119.1 Å³/cell. As for the space group: No. 123. Its density is 5.64 g/cm3.

Cell: 4.9796 4.9796 4.8037 Å, 90.00 90.00 90.00°
Closest atoms and distances in Å follow each position.
Atoms (fractional coordinates):
As  0.0000  0.5000  0.0000  2 Mo 2.49
As  0.5000  0.0000  0.0000  2 Mo 2.49
Mo  0.0000  0.0000  0.0000  2 Se 2.40, 4 As 2.49
Se  0.0000  0.0000  0.5000  2 Mo 2.40
Br  0.5000  0.5000  0.5000  8 As 3.46, 4 Se 3.52

=====

Energetically preferred structure: 3 | next structure: +24.0 kJ/mol of atoms

=====

1:
This record from the Alexandria database describes an optimized crystal structure of MoAsSeBr2. The functional is PBE.

## Properties
The volume comes out at 142.3 Å³/cell. As for the space group: No. 123. Its density is 4.78 g/cm3.

Cell: 5.1679 5.1679 5.3273 Å, 90.00 90.00 90.00°
Closest atoms and distances in Å follow each position.
Atoms (fractional coordinates):
As  0.0000  0.0000  0.0000  4 Br 2.58, 2 Se 2.66
Mo  0.5000  0.5000  0.5000  4 Se 3.65, 8 Br 3.71
Se  0.0000  0.0000  0.5000  2 As 2.66
Br  0.0000  0.5000  0.0000  2 As 2.58
Br  0.5000  0.0000  0.0000  2 As 2.58

=====

2:
This record from the Alexandria database describes an optimized crystal structure of MoAsSeBr2. The functional is PBE.

## Properties
The volume comes out at 143.7 Å³/cell. As for the space group: No. 123. Its density is 4.73 g/cm3.

Cell: 5.1693 5.1693 5.3774 Å, 90.00 90.00 90.00°
Closest atoms and distances in Å follow each position.
Atoms (fractional coordinates):
As  0.0000  0.0000  0.5000  2 Se 2.69
Mo  0.5000  0.5000  0.5000  4 As 3.66, 8 Br 3.73
Se  0.0000  0.0000  0.0000  4 Br 2.58, 2 As 2.69
Br  0.0000  0.5000  0.0000  2 Se 2.58
Br  0.5000  0.0000  0.0000  2 Se 2.58

=====

3:
This record from the Alexandria database describes an optimized crystal structure of MoAsSeBr2. The functional is PBE.

## Properties
The volume comes out at 138.3 Å³/cell. As for the space group: No. 123. Its density is 4.92 g/cm3.

Cell: 5.2964 5.2964 4.9296 Å, 90.00 90.00 90.00°
Closest atoms and distances in Å follow each position.
Atoms (fractional coordinates):
As  0.5000  0.5000  0.5000  8 Br 3.62, 4 Se 3.75
Mo  0.0000  0.0000  0.0000  2 Se 2.46, 4 Br 2.65
Se  0.0000  0.0000  0.5000  2 Mo 2.46
Br  0.0000  0.5000  0.0000  2 Mo 2.65
Br  0.5000  0.0000  0.0000  2 Mo 2.65

=====

Energetically preferred structure: 3 | next structure: +32.3 kJ/mol of atoms